Entry 1:
A plane-wave DFT calculation with PBE-GGA was carried out for an optimized crystal structure of SmErAu.

Calculated values
ΔH_f (0 K) (eV per atom): 0.180
VASP energy (eV per atom): -4.00
Magnetization (μB/f.u.): 0.00

abc: 6.9230 6.9230 6.9230
angles: 90.00 90.00 90.00
Last column: nearest neighbours and their distance in Å.
Space group F-43m (No. 216)
Inequivalent atoms, fractional coordinates:
Sm (0.0000, 0.0000, 0.0000) (multiplicity 4)  4 Au 3.00, 4 Er 3.00
Er (0.2500, 0.2500, 0.2500) (multiplicity 4)  4 Sm 3.00
Au (0.2500, 0.2500, 0.7500) (multiplicity 4)  4 Sm 3.00


Entry 2:
A plane-wave DFT calculation with PBE-GGA was carried out for an optimized crystal structure of TbEr2Sn4Au4.

Calculated values
VASP energy (eV per atom): -4.51
Magnetization (μB/f.u.): 0.00

abc: 4.5461 7.2762 15.4993
angles: 90.00 90.00 90.00
Last column: nearest neighbours and their distance in Å.
Space group Immm (No. 71)
Inequivalent atoms, fractional coordinates:
Tb (0.0000, 0.0000, 0.0000) (multiplicity 2)  6 Sn 3.17-3.32
Er (0.0000, 0.5000, 0.1283) (multiplicity 4)  6 Au 3.19-3.48, 6 Sn 3.34
Sn (0.0000, 0.0000, 0.2141) (multiplicity 4)  6 Au 2.81
Sn (0.0000, 0.1965, 0.5000) (multiplicity 4)  2 Au 2.71, 1 Sn 2.86
Au (0.0000, 0.2952, 0.3312) (multiplicity 8)  4 Sn 2.71-2.81, 1 Au 2.98


Among the records above, which one has the highest VASP energy?
SmErAu


Repeat the first record exactly.
A plane-wave DFT calculation with PBE-GGA was carried out for an optimized crystal structure of SmErAu.

Calculated values
ΔH_f (0 K) (eV per atom): 0.180
VASP energy (eV per atom): -4.00
Magnetization (μB/f.u.): 0.00

abc: 6.9230 6.9230 6.9230
angles: 90.00 90.00 90.00
Last column: nearest neighbours and their distance in Å.
Space group F-43m (No. 216)
Inequivalent atoms, fractional coordinates:
Sm (0.0000, 0.0000, 0.0000) (multiplicity 4)  4 Au 3.00, 4 Er 3.00
Er (0.2500, 0.2500, 0.2500) (multiplicity 4)  4 Sm 3.00
Au (0.2500, 0.2500, 0.7500) (multiplicity 4)  4 Sm 3.00